## Li4SbAsPt2 (GGA-PBE)

Data for a relaxed structure of Li4SbAsPt2.

Unit cell a=4.342 b=4.342 c=6.297 alpha=90.00 beta=90.00 gamma=90.00
Fractional coordinates of all 8 atoms:
Li: 0.500 0.500 0.500
Li: 0.500 0.000 0.224
Li: 0.000 0.500 0.776
Li: 0.000 0.000 0.000
As: 0.500 0.500 0.000
Pt: 0.500 0.000 0.764
Pt: 0.000 0.500 0.236
Sb: 0.000 0.000 0.500

Results
calculated total energy = -33.85 eV per formula unit
space-group type = No. 115

## Li4SiAsPt2 (GGA-PBE)

Data for a relaxed structure of Li4SiAsPt2.

Unit cell a=4.173 b=4.173 c=6.120 alpha=90.00 beta=90.00 gamma=90.00
Fractional coordinates of all 8 atoms:
As: 0.000 0.000 0.000
Li: 0.500 0.500 0.000
Li: 0.000 0.000 0.500
Li: 0.500 0.000 0.745
Li: 0.000 0.500 0.255
Si: 0.500 0.500 0.500
Pt: 0.000 0.500 0.728
Pt: 0.500 0.000 0.272

Results
calculated total energy = -35.22 eV per formula unit
space-group type = No. 115

## SrLiAsPt (GGA-PBE)

Data for a relaxed structure of SrLiAsPt.

Unit cell a=4.772 b=4.772 c=4.772 alpha=60.00 beta=60.00 gamma=60.00
Fractional coordinates of all 4 atoms:
As: 0.250 0.250 0.250
Li: 0.750 0.750 0.750
Pt: 0.500 0.500 0.500
Sr: 0.000 0.000 0.000

Results
calculated total energy = -16.60 eV per formula unit
space-group type = No. 216

The lowest calculated total energy belongs to which entry? Li4SiAsPt2

The lowest calculated total energy belongs to which entry? Li4SiAsPt2